No. 1
# CaRuW2

An optimized crystal structure of CaRuW2 (PBE-GGA, Alexandria via LeMat-Bulk).

## Properties
Offset from the most stable computed form (meV/atom): 40
ΔE_f (kJ per mole of atoms): 47
Calculated total energy (eV/atom): -8.80
Magnetization (μB/atom): 0.00
DOS(E_F) (states/eV per atom): 1.283

CIF file:
```
data_CaRuW2
_symmetry_space_group_name_H-M 'P 1'
_symmetry_Int_Tables_number 1
_cell_length_a 2.8430
_cell_length_b 2.8430
_cell_length_c 9.1998
_cell_angle_alpha 90.00
_cell_angle_beta 90.00
_cell_angle_gamma 107.49
loop_
_symmetry_equiv_pos_as_xyz
'x,y,z'
loop_
_atom_site_label
_atom_site_fract_x
_atom_site_fract_y
_atom_site_fract_z
Ca1 0.0000 0.0000 0.0000
Ru1 0.5000 0.5000 0.7382
W1 0.0000 0.0000 0.5243
W2 0.5000 0.5000 0.2934
```

No. 2
# LiHg2BiS4

An optimized crystal structure of LiHg2BiS4 (PBE-GGA, Alexandria via LeMat-Bulk).

## Properties
Calculated total energy (eV/atom): -3.24
Magnetization (μB/atom): 0.00

CIF file:
```
data_LiHg2BiS4
_symmetry_space_group_name_H-M 'P 1'
_symmetry_Int_Tables_number 1
_cell_length_a 7.3443
_cell_length_b 7.3443
_cell_length_c 7.3443
_cell_angle_alpha 131.90
_cell_angle_beta 131.90
_cell_angle_gamma 70.39
loop_
_symmetry_equiv_pos_as_xyz
'x,y,z'
loop_
_atom_site_label
_atom_site_fract_x
_atom_site_fract_y
_atom_site_fract_z
Li1 0.0000 0.0000 0.0000
Hg1 0.2500 0.7500 0.5000
Hg2 0.7500 0.2500 0.5000
Bi1 0.5000 0.5000 0.0000
S1 0.1067 0.1067 0.4627
S2 0.3561 0.8933 0.0000
S3 0.6439 0.6439 0.5373
S4 0.8933 0.3561 0.0000
```

- Which value of calculated total energy does entry 1 give?
  -8.80 eV/atom

- Number 1 is which compound?
  CaRuW2

- What is the magnetization in the second record?
  0.00 μB/atom